Entry 1:
# Sr3CaAu2 (GGA-PBE, relaxed)
# total moment = 0.000 μB per formula unit
# ΔE_f = -539 meV per atom
# calculated volume = 37.6 Å³ per atom
# energy = -2.806 eV/atom
data_Sr3CaAu2
_cell_length_a 4.661
_cell_length_b 9.390
_cell_length_c 11.157
_cell_angle_alpha 75.04
_cell_angle_beta 77.94
_cell_angle_gamma 75.63
_space_group_name_H-M_alt 'P 1'
_space_group_IT_number 1
_space_group_name_Hall 'P 1'
loop_
_atom_site_label
_atom_site_type_symbol
_atom_site_fract_x
_atom_site_fract_y
_atom_site_fract_z
Sr1 Sr 0.158 0.932 0.753
Sr2 Sr 0.842 0.068 0.247
Sr3 Sr 0.412 0.243 0.934
Sr4 Sr 0.588 0.757 0.066
Sr5 Sr 0.590 0.271 0.550
Sr6 Sr 0.410 0.729 0.450
Ca1 Ca 0.830 0.581 0.759
Ca2 Ca 0.170 0.419 0.241
Au1 Au 0.230 0.598 0.942
Au2 Au 0.770 0.402 0.058
Au3 Au 0.771 0.898 0.561
Au4 Au 0.229 0.102 0.439


Entry 2:
# SrCa2Au (GGA-PBE, relaxed)
# total moment = 0.000 μB per formula unit
# ΔE_f = -307 meV per atom
# calculated volume = 38.4 Å³ per atom
# energy = -2.548 eV/atom
# offset from the most stable computed form = 0.1552 eV per atom
data_SrCa2Au
_cell_length_a 9.666
_cell_length_b 9.666
_cell_length_c 7.586
_cell_angle_alpha 50.43
_cell_angle_beta 50.43
_cell_angle_gamma 90.00
_space_group_name_H-M_alt 'P 1'
_space_group_IT_number 1
_space_group_name_Hall 'P 1'
loop_
_atom_site_label
_atom_site_type_symbol
_atom_site_fract_x
_atom_site_fract_y
_atom_site_fract_z
Sr1 Sr 0.500 0.500 0.000
Sr2 Sr 0.250 0.750 0.500
Ca1 Ca 0.720 0.125 0.250
Ca2 Ca 0.030 0.625 0.250
Ca3 Ca 0.375 0.280 0.750
Ca4 Ca 0.875 0.970 0.750
Au1 Au 0.000 0.000 0.000
Au2 Au 0.750 0.250 0.500


Entry 3:
# SrCa2Au (GGA-PBE, relaxed)
# total moment = 0.000 μB per formula unit
# ΔE_f = -393 meV per atom
# calculated volume = 34.9 Å³ per atom
# energy = -2.633 eV/atom
# offset from the most stable computed form = 0.0694 eV per atom
data_SrCa2Au
_cell_length_a 3.795
_cell_length_b 3.795
_cell_length_c 9.692
_cell_angle_alpha 90.00
_cell_angle_beta 90.00
_cell_angle_gamma 90.00
_space_group_name_H-M_alt 'P 1'
_space_group_IT_number 1
_space_group_name_Hall 'P 1'
loop_
_atom_site_label
_atom_site_type_symbol
_atom_site_fract_x
_atom_site_fract_y
_atom_site_fract_z
Sr1 Sr 0.500 0.500 0.250
Ca1 Ca 0.000 0.000 0.925
Ca2 Ca 0.000 0.000 0.575
Au1 Au 0.500 0.500 0.750


Entry 4:
# SrCaAu (GGA-PBE, relaxed)
# total moment = 0.000 μB per formula unit
# ΔE_f = -516 meV per atom
# calculated volume = 34.8 Å³ per atom
# energy = -2.836 eV/atom
# offset from the most stable computed form = 0.0910 eV per atom
data_SrCaAu
_cell_length_a 5.286
_cell_length_b 5.286
_cell_length_c 5.286
_cell_angle_alpha 60.00
_cell_angle_beta 60.00
_cell_angle_gamma 60.00
_space_group_name_H-M_alt 'P 1'
_space_group_IT_number 1
_space_group_name_Hall 'P 1'
loop_
_atom_site_label
_atom_site_type_symbol
_atom_site_fract_x
_atom_site_fract_y
_atom_site_fract_z
Sr1 Sr 0.500 0.500 0.500
Ca1 Ca 0.000 0.000 0.000
Au1 Au 0.750 0.750 0.750


Entry 5:
# SrCa2Au (GGA-PBE, relaxed)
# total moment = 0.000 μB per formula unit
# ΔE_f = -370 meV per atom
# calculated volume = 39.9 Å³ per atom
# energy = -2.611 eV/atom
# offset from the most stable computed form = 0.0919 eV per atom
data_SrCa2Au
_cell_length_a 10.424
_cell_length_b 10.424
_cell_length_c 10.424
_cell_angle_alpha 23.63
_cell_angle_beta 23.63
_cell_angle_gamma 23.63
_space_group_name_H-M_alt 'P 1'
_space_group_IT_number 1
_space_group_name_Hall 'P 1'
loop_
_atom_site_label
_atom_site_type_symbol
_atom_site_fract_x
_atom_site_fract_y
_atom_site_fract_z
Sr1 Sr 0.250 0.250 0.250
Ca1 Ca 0.029 0.029 0.029
Ca2 Ca 0.471 0.471 0.471
Au1 Au 0.750 0.750 0.750


Entry 6:
# SrCaAu (GGA-PBE, relaxed)
# total moment = 0.000 μB per formula unit
# ΔE_f = -540 meV per atom
# calculated volume = 34.8 Å³ per atom
# energy = -2.860 eV/atom
# offset from the most stable computed form = 0.0669 eV per atom
data_SrCaAu
_cell_length_a 5.488
_cell_length_b 6.331
_cell_length_c 6.204
_cell_angle_alpha 104.68
_cell_angle_beta 90.69
_cell_angle_gamma 90.51
_space_group_name_H-M_alt 'P 1'
_space_group_IT_number 1
_space_group_name_Hall 'P 1'
loop_
_atom_site_label
_atom_site_type_symbol
_atom_site_fract_x
_atom_site_fract_y
_atom_site_fract_z
Sr1 Sr 0.754 0.595 0.288
Sr2 Sr 0.251 0.413 0.715
Ca1 Ca 0.749 0.006 0.825
Ca2 Ca 0.255 0.002 0.178
Au1 Au 0.759 0.125 0.367
Au2 Au 0.245 0.883 0.636